Below is Mn2TlZnF after structural relaxation, with properties calculated at the PBE with a Hubbard U level.

Summary:
**V**: 145.5 Å³ per cell
**Total DFT energy (no corrections)**: -3.7949 eV per atom

Unit cell a=5.485 b=5.485 c=4.837 alpha=90.00 beta=90.00 gamma=90.00
Space group P4/mmm (No. 123)
One atom of each set of equivalent atoms:
Mn: 0.000 0.500 0.000
Tl: 0.000 0.000 0.000
Zn: 0.500 0.500 0.500
F: 0.000 0.000 0.500